Entry 1:
# Bi3BO6, optimized geometry, DFT GGA-PBEsol
data_Bi3BO6
_chemical_formula_sum 'Bi12 B4 O24'
_symmetry_space_group_name_H-M 'P 1'
_symmetry_Int_Tables_number 1
_cell_length_a 12.6605
_cell_length_b 9.7698
_cell_length_c 4.6441
_cell_angle_alpha 90.00
_cell_angle_beta 90.00
_cell_angle_gamma 90.00
loop_
_symmetry_equiv_pos_as_xyz
'x,y,z'
loop_
_atom_site_label
_atom_site_fract_x
_atom_site_fract_y
_atom_site_fract_z
Bi1 0.0930 0.2500 0.0136
Bi2 0.1335 0.5677 0.5304
Bi3 0.1335 0.9323 0.5304
Bi4 0.3665 0.0677 0.0304
Bi5 0.3665 0.4323 0.0304
Bi6 0.4070 0.7500 0.5136
Bi7 0.5930 0.2500 0.4864
Bi8 0.6335 0.5677 0.9696
Bi9 0.6335 0.9323 0.9696
Bi10 0.8665 0.0677 0.4696
Bi11 0.8665 0.4323 0.4696
Bi12 0.9070 0.7500 0.9864
B1 0.2242 0.7500 0.0778
B2 0.2758 0.2500 0.5778
B3 0.7242 0.7500 0.4222
B4 0.7758 0.2500 0.9222
O1 0.0447 0.0876 0.2938
O2 0.0447 0.4124 0.2938
O3 0.1098 0.7500 0.1686
O4 0.2315 0.1202 0.7138
O5 0.2315 0.3798 0.7138
O6 0.2466 0.7500 0.7706
O7 0.2534 0.2500 0.2706
O8 0.2685 0.6202 0.2138
O9 0.2685 0.8798 0.2138
O10 0.3902 0.2500 0.6686
O11 0.4553 0.5876 0.7938
O12 0.4553 0.9124 0.7938
O13 0.5447 0.0876 0.2062
O14 0.5447 0.4124 0.2062
O15 0.6098 0.7500 0.3314
O16 0.7315 0.1202 0.7862
O17 0.7315 0.3798 0.7862
O18 0.7466 0.7500 0.7294
O19 0.7534 0.2500 0.2294
O20 0.7685 0.6202 0.2862
O21 0.7685 0.8798 0.2862
O22 0.8902 0.2500 0.8314
O23 0.9553 0.5876 0.7062
O24 0.9553 0.9124 0.7062
# space group: Pnma
# ΔE_f (raw): -1.514 eV/atom
# electronic total energy: -6.6505 eV/atom

Entry 2:
# MgMnPb2, optimized geometry, DFT GGA-PBEsol
data_MgMnPb2
_chemical_formula_sum 'Mg1 Mn1 Pb2'
_symmetry_space_group_name_H-M 'P 1'
_symmetry_Int_Tables_number 1
_cell_length_a 3.3466
_cell_length_b 3.3466
_cell_length_c 8.1788
_cell_angle_alpha 90.00
_cell_angle_beta 90.00
_cell_angle_gamma 90.00
loop_
_symmetry_equiv_pos_as_xyz
'x,y,z'
loop_
_atom_site_label
_atom_site_fract_x
_atom_site_fract_y
_atom_site_fract_z
Mg1 0.0000 0.0000 0.0000
Mn1 0.0000 0.0000 0.5000
Pb1 0.5000 0.5000 0.2731
Pb2 0.5000 0.5000 0.7269
# space group: P4/mmm
# electronic total energy: -4.5952 eV/atom

Entry 3:
# SiHg2Ru, optimized geometry, DFT GGA-PBEsol
data_SiHg2Ru
_chemical_formula_sum 'Si1 Hg2 Ru1'
_symmetry_space_group_name_H-M 'P 1'
_symmetry_Int_Tables_number 1
_cell_length_a 3.6070
_cell_length_b 3.6070
_cell_length_c 5.3171
_cell_angle_alpha 90.00
_cell_angle_beta 90.00
_cell_angle_gamma 90.00
loop_
_symmetry_equiv_pos_as_xyz
'x,y,z'
loop_
_atom_site_label
_atom_site_fract_x
_atom_site_fract_y
_atom_site_fract_z
Si1 0.0000 0.0000 0.0000
Hg1 0.5000 0.5000 0.2506
Hg2 0.5000 0.5000 0.7494
Ru1 0.0000 0.0000 0.5000
# space group: P4/mmm
# ΔE_f (raw): 0.476 eV/atom
# electronic total energy: -3.7868 eV/atom

Entry 4:
# Nb3CoOs, optimized geometry, DFT GGA-PBEsol
data_Nb3CoOs
_chemical_formula_sum 'Nb3 Co1 Os1'
_symmetry_space_group_name_H-M 'P 1'
_symmetry_Int_Tables_number 1
_cell_length_a 4.4563
_cell_length_b 4.4563
_cell_length_c 4.4563
_cell_angle_alpha 90.00
_cell_angle_beta 90.00
_cell_angle_gamma 90.00
loop_
_symmetry_equiv_pos_as_xyz
'x,y,z'
loop_
_atom_site_label
_atom_site_fract_x
_atom_site_fract_y
_atom_site_fract_z
Nb1 0.0000 0.0000 0.5000
Nb2 0.0000 0.5000 0.0000
Nb3 0.5000 0.0000 0.0000
Co1 0.0000 0.0000 0.0000
Os1 0.5000 0.5000 0.5000
# space group: Pm-3m
# electronic total energy: -9.5273 eV/atom

Entry 5:
# YZn3Si, optimized geometry, DFT GGA-PBEsol
data_YZn3Si
_chemical_formula_sum 'Y1 Zn3 Si1'
_symmetry_space_group_name_H-M 'P 1'
_symmetry_Int_Tables_number 1
_cell_length_a 5.2381
_cell_length_b 5.2381
_cell_length_c 5.2381
_cell_angle_alpha 90.00
_cell_angle_beta 90.00
_cell_angle_gamma 90.00
loop_
_symmetry_equiv_pos_as_xyz
'x,y,z'
loop_
_atom_site_label
_atom_site_fract_x
_atom_site_fract_y
_atom_site_fract_z
Y1 0.0000 0.0000 0.0000
Zn1 0.0000 0.0000 0.5000
Zn2 0.0000 0.5000 0.0000
Zn3 0.5000 0.0000 0.0000
Si1 0.5000 0.5000 0.5000
# space group: Pm-3m
# ΔE_f (raw): 1.354 eV/atom
# electronic total energy: -2.1094 eV/atom

Entry 6:
# LiPb3, optimized geometry, DFT GGA-PBEsol
data_LiPb3
_chemical_formula_sum 'Li1 Pb3'
_symmetry_space_group_name_H-M 'P 1'
_symmetry_Int_Tables_number 1
_cell_length_a 3.5054
_cell_length_b 5.5235
_cell_length_c 5.6384
_cell_angle_alpha 90.00
_cell_angle_beta 90.00
_cell_angle_gamma 90.00
loop_
_symmetry_equiv_pos_as_xyz
'x,y,z'
loop_
_atom_site_label
_atom_site_fract_x
_atom_site_fract_y
_atom_site_fract_z
Li1 0.0000 0.0000 0.0000
Pb1 0.0000 0.5000 0.3346
Pb2 0.5000 0.0000 0.5062
Pb3 0.5000 0.5000 0.8429
# space group: Pmm2
# electronic total energy: -3.5884 eV/atom

Entry 7:
# ReNiIr2, optimized geometry, DFT GGA-PBEsol
data_ReNiIr2
_chemical_formula_sum 'Re1 Ni1 Ir2'
_symmetry_space_group_name_H-M 'P 1'
_symmetry_Int_Tables_number 1
_cell_length_a 4.5792
_cell_length_b 4.5792
_cell_length_c 4.5792
_cell_angle_alpha 131.09
_cell_angle_beta 131.09
_cell_angle_gamma 71.67
loop_
_symmetry_equiv_pos_as_xyz
'x,y,z'
loop_
_atom_site_label
_atom_site_fract_x
_atom_site_fract_y
_atom_site_fract_z
Re1 0.0000 0.0000 0.0000
Ni1 0.5000 0.5000 0.0000
Ir1 0.2500 0.7500 0.5000
Ir2 0.7500 0.2500 0.5000
# space group: I4/mmm
# energy above the most stable polymorph in this dataset: 0.109 eV per formula unit
# electronic total energy: -9.8864 eV/atom

Entry 8:
# Ti4P6PbO24, optimized geometry, DFT GGA-PBEsol
data_Ti4P6PbO24
_chemical_formula_sum 'Ti4 P6 Pb1 O24'
_symmetry_space_group_name_H-M 'P 1'
_symmetry_Int_Tables_number 1
_cell_length_a 8.9794
_cell_length_b 8.9794
_cell_length_c 8.9794
_cell_angle_alpha 55.66
_cell_angle_beta 55.66
_cell_angle_gamma 55.66
loop_
_symmetry_equiv_pos_as_xyz
'x,y,z'
loop_
_atom_site_label
_atom_site_fract_x
_atom_site_fract_y
_atom_site_fract_z
Ti1 0.1447 0.1447 0.1447
Ti2 0.3507 0.3507 0.3507
Ti3 0.6493 0.6493 0.6493
Ti4 0.8553 0.8553 0.8553
P1 0.0365 0.4703 0.7489
P2 0.2511 0.9635 0.5297
P3 0.4703 0.7489 0.0365
P4 0.5297 0.2511 0.9635
P5 0.7489 0.0365 0.4703
P6 0.9635 0.5297 0.2511
Pb1 0.5000 0.5000 0.5000
O1 0.0184 0.6597 0.7312
O2 0.0335 0.3143 0.9499
O3 0.0501 0.9665 0.6858
O4 0.1267 0.5009 0.2894
O5 0.2314 0.4016 0.5932
O6 0.2688 0.9815 0.3403
O7 0.2894 0.1267 0.5009
O8 0.3142 0.9499 0.0335
O9 0.3403 0.2688 0.9816
O10 0.4016 0.5932 0.2314
O11 0.4068 0.7686 0.5984
O12 0.4991 0.7106 0.8733
O13 0.5009 0.2894 0.1267
O14 0.5932 0.2314 0.4016
O15 0.5984 0.4068 0.7686
O16 0.6597 0.7312 0.0184
O17 0.6857 0.0501 0.9665
O18 0.7106 0.8733 0.4991
O19 0.7312 0.0184 0.6597
O20 0.7686 0.5984 0.4068
O21 0.8733 0.4991 0.7106
O22 0.9499 0.0335 0.3143
O23 0.9665 0.6858 0.0501
O24 0.9816 0.3403 0.2688
# space group: R-3
# ΔE_f (raw): -2.516 eV/atom
# electronic total energy: -8.1740 eV/atom

Q: The highest electronic total energy belongs to which entry?
A: YZn3Si

Copy entry 3 word for word.
# SiHg2Ru, optimized geometry, DFT GGA-PBEsol
data_SiHg2Ru
_chemical_formula_sum 'Si1 Hg2 Ru1'
_symmetry_space_group_name_H-M 'P 1'
_symmetry_Int_Tables_number 1
_cell_length_a 3.6070
_cell_length_b 3.6070
_cell_length_c 5.3171
_cell_angle_alpha 90.00
_cell_angle_beta 90.00
_cell_angle_gamma 90.00
loop_
_symmetry_equiv_pos_as_xyz
'x,y,z'
loop_
_atom_site_label
_atom_site_fract_x
_atom_site_fract_y
_atom_site_fract_z
Si1 0.0000 0.0000 0.0000
Hg1 0.5000 0.5000 0.2506
Hg2 0.5000 0.5000 0.7494
Ru1 0.0000 0.0000 0.5000
# space group: P4/mmm
# ΔE_f (raw): 0.476 eV/atom
# electronic total energy: -3.7868 eV/atom

Q: What is the electronic total energy in the third record?
A: -3.7868 eV/atom